# CeZnSb2

A relaxed CeZnSb2 crystal (PBE, the Alexandria database).

Cell and atoms, written as CIF:
```
data_CeZnSb2
_cell_length_a 4.738
_cell_length_b 4.738
_cell_length_c 4.332
_cell_angle_alpha 90.00
_cell_angle_beta 90.00
_cell_angle_gamma 90.00
_symmetry_space_group_name_H-M 'P 4/m m m'
_symmetry_Int_Tables_number 123
_symmetry_space_group_name_Hall '-P 4 2'
loop_
_atom_site_label
_atom_site_fract_x
_atom_site_fract_y
_atom_site_fract_z
_atom_site_occupancy
Ce1 0.000 0.000 0.000 1
Zn1 0.500 0.500 0.000 1
Sb1 0.000 0.500 0.500 1
```

Fermi-level density of states = 4.43 states/eV/cell
uncorrected formation energy = -53.5 kJ per mole of atoms
raw total energy = -0.16234 hartree per atom



# RbCoTc2B

A relaxed RbCoTc2B crystal (PBE, the Alexandria database).

Cell and atoms, written as CIF:
```
data_RbCoTc2B
_cell_length_a 4.384
_cell_length_b 4.384
_cell_length_c 4.127
_cell_angle_alpha 90.00
_cell_angle_beta 90.00
_cell_angle_gamma 90.00
_symmetry_space_group_name_H-M 'P 4/m m m'
_symmetry_Int_Tables_number 123
_symmetry_space_group_name_Hall '-P 4 2'
loop_
_atom_site_label
_atom_site_fract_x
_atom_site_fract_y
_atom_site_fract_z
_atom_site_occupancy
Rb1 0.000 0.000 0.000 1
Co1 0.500 0.500 0.000 1
Tc1 0.000 0.500 0.500 1
B1 0.500 0.500 0.500 1
```

Fermi-level density of states = 5.44 states/eV/cell
ΔH_f (0 K) = 1.213 eV per atom
raw total energy = -0.21622 hartree per atom



# YAsBr

A relaxed YAsBr crystal (PBE, the Alexandria database).

Cell and atoms, written as CIF:
```
data_YAsBr
_cell_length_a 3.8824
_cell_length_b 3.8824
_cell_length_c 7.2308
_cell_angle_alpha 90.00
_cell_angle_beta 90.00
_cell_angle_gamma 120.00
_symmetry_space_group_name_H-M 'P 3 m 1'
_symmetry_Int_Tables_number 156
loop_
_symmetry_equiv_pos_as_xyz
'x,y,z'
'-y,x-y,z'
'-x+y,-x,z'
'-y,-x,z'
'-x+y,y,z'
'x,x-y,z'
loop_
_atom_site_label
_atom_site_fract_x
_atom_site_fract_y
_atom_site_fract_z
_atom_site_occupancy
Y1 0.0000 0.0000 0.0000 1
As1 0.6667 0.3333 0.2533 1
Br1 0.3333 0.6667 0.7422 1
```

Fermi-level density of states = 2.01 states/eV/cell
uncorrected formation energy = -95.1 kJ per mole of atoms
raw total energy = -0.19287 hartree per atom
excess energy over the best structure of this formula in the dataset = 390.3 meV/atom



# Sr2GaRh3

A relaxed Sr2GaRh3 crystal (PBE, the Alexandria database).

Cell and atoms, written as CIF:
```
data_Sr2GaRh3
_cell_length_a 5.7071
_cell_length_b 5.7071
_cell_length_c 12.5271
_cell_angle_alpha 90.00
_cell_angle_beta 90.00
_cell_angle_gamma 120.00
_symmetry_space_group_name_H-M 'R -3 m'
_symmetry_Int_Tables_number 166
_symmetry_space_group_name_Hall '-R 3 2"'
loop_
_atom_site_label
_atom_site_fract_x
_atom_site_fract_y
_atom_site_fract_z
_atom_site_occupancy
Sr1 0.0000 0.0000 0.1266 1
Ga1 0.0000 0.0000 0.5000 1
Rh1 0.0000 0.5000 0.0000 1
```

Fermi-level density of states = 11.53 states/eV/cell
ΔH_f (0 K) = -0.461 eV per atom
raw total energy = -0.19115 hartree per atom